LiMnBr: optimized geometry, PBE-GGA.

Summary:
Uncorrected formation energy, meV per atom: 267
Symmetry: F-43m
Total magnetic moment, μB/f.u.: 4.11
Offset from the most stable computed form, eV/atom: 0.370

Structure (extended XYZ):
```
3
Lattice="4.524 0.000 0.000 2.262 3.918 0.000 2.262 1.306 3.694" Properties=species:S:1:pos:R:3 pbc="T T T"
Li 0.000 0.000 0.000
Br 6.786 3.918 2.770
Mn 4.524 2.612 1.847
```